Record 1
The following is a GGA-PBE calculation of a geometry-optimized RbMgIrI2 structure, from Alexandria via LeMat-Bulk.

```
5
Lattice="5.719 0.000 0.000 0.000 5.719 0.000 0.000 0.000 4.978" Properties=species:S:1:pos:R:3 pbc="T T T"
Rb 0.000 0.000 0.000
Mg 2.860 2.860 0.000
Ir 2.860 2.860 2.489
I 0.000 2.860 2.489
I 2.860 0.000 2.489
```

Values from the calculation:
Symmetry: No. 123
Raw total energy (eV/cell): -15.692
Spin magnetization (Bohr magnetons per cell): 0.000

=====

Record 2
The following is a GGA-PBE calculation of a geometry-optimized Mg2IrRhI structure, from Alexandria via LeMat-Bulk.

```
5
Lattice="5.041 0.000 0.000 0.000 5.041 0.000 0.000 0.000 4.748" Properties=species:S:1:pos:R:3 pbc="T T T"
Mg 0.000 2.521 0.000
Mg 2.521 0.000 0.000
Ir 0.000 0.000 2.374
Rh 0.000 0.000 0.000
I 2.521 2.521 2.374
```

Values from the calculation:
Symmetry: No. 123
Raw total energy (eV/cell): -18.879
Spin magnetization (Bohr magnetons per cell): 0.000

=====

Record 3
The following is a GGA-PBE calculation of a geometry-optimized MgSb2IrI structure, from Alexandria via LeMat-Bulk.

```
5
Lattice="5.156 0.000 0.000 0.000 5.156 0.000 0.000 0.000 5.771" Properties=species:S:1:pos:R:3 pbc="T T T"
Mg 0.000 0.000 0.000
Sb 0.000 2.578 2.886
Sb 2.578 0.000 2.886
Ir 2.578 2.578 2.886
I 2.578 2.578 0.000
```

Values from the calculation:
Symmetry: No. 123
Raw total energy (eV/cell): -18.299
Spin magnetization (Bohr magnetons per cell): 0.000

=====

Record 4
The following is a GGA-PBE calculation of a geometry-optimized MgSbIrI2 structure, from Alexandria via LeMat-Bulk.

```
5
Lattice="5.679 0.000 0.000 0.000 5.679 0.000 0.000 0.000 4.987" Properties=species:S:1:pos:R:3 pbc="T T T"
Mg 0.000 0.000 0.000
Sb 2.839 2.839 0.000
Ir 2.839 2.839 2.494
I 0.000 2.839 2.494
I 2.839 0.000 2.494
```

Values from the calculation:
Symmetry: No. 123
Raw total energy (eV/cell): -16.124
Spin magnetization (Bohr magnetons per cell): 0.000

=====

Record 5
The following is a GGA-PBE calculation of a geometry-optimized Mn3IrI structure, from Alexandria via LeMat-Bulk.

```
5
Lattice="4.945 0.000 0.000 0.000 4.945 0.000 0.000 0.000 4.945" Properties=species:S:1:pos:R:3 pbc="T T T"
Mn 0.000 0.000 2.472
Mn 0.000 2.472 0.000
Mn 2.472 0.000 0.000
Ir 0.000 0.000 0.000
I 2.472 2.472 2.472
```

Values from the calculation:
Symmetry: No. 221
Raw total energy (eV/cell): -34.050
Spin magnetization (Bohr magnetons per cell): 13.334

=====

Record 6
The following is a GGA-PBE calculation of a geometry-optimized MnIrI2 structure, from Alexandria via LeMat-Bulk.

```
16
Lattice="7.031 0.000 0.000 0.000 7.031 0.000 0.000 0.000 7.031" Properties=species:S:1:pos:R:3 pbc="T T T"
Mn 0.000 0.000 0.000
Mn 0.000 3.515 3.515
Mn 3.515 0.000 3.515
Mn 3.515 3.515 0.000
Ir 0.000 0.000 3.515
Ir 0.000 3.515 0.000
Ir 3.515 0.000 0.000
Ir 3.515 3.515 3.515
I 1.758 1.758 1.758
I 1.758 1.758 5.273
I 1.758 5.273 1.758
I 1.758 5.273 5.273
I 5.273 1.758 1.758
I 5.273 1.758 5.273
I 5.273 5.273 1.758
I 5.273 5.273 5.273
```

Values from the calculation:
Symmetry: No. 225
Raw total energy (eV/cell): -69.126
Spin magnetization (Bohr magnetons per cell): 14.831

=====

Record 7
The following is a GGA-PBE calculation of a geometry-optimized Mn2IrI structure, from Alexandria via LeMat-Bulk.

```
16
Lattice="6.169 0.000 0.000 0.000 6.169 0.000 0.000 0.000 11.915" Properties=species:S:1:pos:R:3 pbc="T T T"
Mn 1.180 1.542 1.489
Mn 1.542 4.265 4.468
Mn 1.542 4.989 10.425
Mn 1.904 1.542 7.447
Mn 4.265 4.627 7.447
Mn 4.627 1.180 10.425
Mn 4.627 1.904 4.468
Mn 4.989 4.627 1.489
Ir 0.000 0.000 0.000
Ir 0.000 3.085 2.979
Ir 3.085 0.000 8.936
Ir 3.085 3.085 5.957
I 0.000 0.000 5.957
I 0.000 3.085 8.936
I 3.085 0.000 2.979
I 3.085 3.085 0.000
```

Values from the calculation:
Symmetry: No. 122
Raw total energy (eV/cell): -102.197
Spin magnetization (Bohr magnetons per cell): 37.194

=====

Record 8
The following is a GGA-PBE calculation of a geometry-optimized MnIr2I structure, from Alexandria via LeMat-Bulk.

```
16
Lattice="6.112 0.000 0.000 0.000 6.112 0.000 0.000 0.000 9.391" Properties=species:S:1:pos:R:3 pbc="T T T"
Mn 0.000 0.000 0.000
Mn 0.000 3.056 2.348
Mn 3.056 0.000 7.043
Mn 3.056 3.056 4.696
Ir 1.195 1.528 1.174
Ir 1.528 4.251 3.522
Ir 1.528 4.917 8.217
Ir 1.861 1.528 5.869
Ir 4.251 4.584 5.869
Ir 4.584 1.195 8.217
Ir 4.584 1.861 3.522
Ir 4.917 4.584 1.174
I 0.000 0.000 4.696
I 0.000 3.056 7.043
I 3.056 0.000 2.348
I 3.056 3.056 0.000
```

Values from the calculation:
Symmetry: No. 122
Raw total energy (eV/cell): -97.984
Spin magnetization (Bohr magnetons per cell): 0.000

=====

Record 9
The following is a GGA-PBE calculation of a geometry-optimized MnIrI2 structure, from Alexandria via LeMat-Bulk.

```
16
Lattice="5.893 0.000 0.000 0.000 5.893 0.000 0.000 0.000 11.647" Properties=species:S:1:pos:R:3 pbc="T T T"
Mn 0.000 0.000 0.000
Mn 0.000 2.947 2.912
Mn 2.947 0.000 8.735
Mn 2.947 2.947 5.824
Ir 0.000 0.000 5.824
Ir 0.000 2.947 8.735
Ir 2.947 0.000 2.912
Ir 2.947 2.947 0.000
I 1.371 1.473 1.456
I 1.473 4.318 4.368
I 1.473 4.522 10.191
I 1.575 1.473 7.279
I 4.318 4.420 7.279
I 4.420 1.371 10.191
I 4.420 1.575 4.368
I 4.522 4.420 1.456
```

Values from the calculation:
Symmetry: No. 122
Raw total energy (eV/cell): -69.056
Spin magnetization (Bohr magnetons per cell): 0.003

=====

Record 10
The following is a GGA-PBE calculation of a geometry-optimized Mn2IrI structure, from Alexandria via LeMat-Bulk.

```
16
Lattice="6.166 0.000 0.000 0.000 6.166 0.000 0.000 0.000 6.166" Properties=species:S:1:pos:R:3 pbc="T T T"
Mn 1.542 1.542 1.542
Mn 1.542 1.542 4.625
Mn 1.542 4.625 1.542
Mn 1.542 4.625 4.625
Mn 4.625 1.542 1.542
Mn 4.625 1.542 4.625
Mn 4.625 4.625 1.542
Mn 4.625 4.625 4.625
Ir 0.000 0.000 0.000
Ir 0.000 3.083 3.083
Ir 3.083 0.000 3.083
Ir 3.083 3.083 0.000
I 0.000 0.000 3.083
I 0.000 3.083 0.000
I 3.083 0.000 0.000
I 3.083 3.083 3.083
```

Values from the calculation:
Symmetry: No. 225
Raw total energy (eV/cell): -98.752
Spin magnetization (Bohr magnetons per cell): 0.002

=====

Record 11
The following is a GGA-PBE calculation of a geometry-optimized MnIr2I structure, from Alexandria via LeMat-Bulk.

```
16
Lattice="6.378 0.000 0.000 0.000 6.378 0.000 0.000 0.000 6.378" Properties=species:S:1:pos:R:3 pbc="T T T"
Mn 0.000 0.000 0.000
Mn 0.000 3.189 3.189
Mn 3.189 0.000 3.189
Mn 3.189 3.189 0.000
Ir 1.595 1.595 1.595
Ir 1.595 1.595 4.784
Ir 1.595 4.784 1.595
Ir 1.595 4.784 4.784
Ir 4.784 1.595 1.595
Ir 4.784 1.595 4.784
Ir 4.784 4.784 1.595
Ir 4.784 4.784 4.784
I 0.000 0.000 3.189
I 0.000 3.189 0.000
I 3.189 0.000 0.000
I 3.189 3.189 3.189
```

Values from the calculation:
Symmetry: No. 225
Raw total energy (eV/cell): -93.765
Spin magnetization (Bohr magnetons per cell): 1.898